The following is a DFT calculation (PBE) of an optimized crystal structure of Pm2SeO.

Unit cell a=7.4004 b=7.4004 c=7.4004 alpha=28.93 beta=28.93 gamma=28.93
Fractional positions:
Pm (0.0000, 0.0000, 0.0000)
Pm (0.1497, 0.1497, 0.1497)
Se (0.5747, 0.5747, 0.5747)
O (0.7452, 0.7452, 0.7452)

- N(E_F): 1.9 states/eV/f.u.
- Density: 7.62 Mg/m³
- Formation energy (no corrections): -1.97 eV/atom
- Energy above the lowest structure with this stoichiometry: 244 meV per atom